The following is a PBE+U calculation of a relaxed structure of CoAg2O, from the Alexandria database.

Calculated total energy = -3.852 eV per atom
Mass density = 6.76 Mg/m³
Total moment = 2.6 μB/f.u.

a b c (Å): 8.9458 8.9458 3.5662
angles (deg): 90.00 90.00 90.00
Space group I-42d (No. 122)
One atom of each set of equivalent atoms:
Co1 0.0000 0.0000 0.0000 x4
Ag1 0.1301 0.7500 0.6250 x8
O1 0.0000 0.0000 0.5000 x4